1.
Here is PPt2W after structural relaxation from Alexandria via LeMat-Bulk. Energies are from GGA-PBEsol.

Unit cell a=5.1941 b=8.1926 c=2.7684 alpha=90.00 beta=90.00 gamma=90.00
Last column: nearest neighbours and their distance in Å.
Space group Cmmm (No. 65)
Inequivalent atoms, fractional coordinates:
P: 0.0000 0.0000 0.0000  2 W 2.60, 2 P 2.77, 8 Pt 2.79
Pt: 0.2500 0.2500 0.5000  4 Pt 2.60-2.77, 4 W 2.79, 4 P 2.79
W: 0.0000 0.5000 0.0000  2 P 2.60, 2 W 2.77, 8 Pt 2.79

Summary:
Uncorrected energy in eV per atom: -8.358
Crystal system: orthorhombic
Formation energy in meV per atom: 23.4
D(E_F) in states/eV/cell: 6.1
Total magnetic moment in μB per formula unit: 0.0


2.
Here is Li4TiCo3O8 after structural relaxation from Alexandria via LeMat-Bulk. Energies are from GGA-PBEsol.

Unit cell a=5.5874 b=5.7738 c=8.2124 alpha=91.39 beta=90.02 gamma=90.17
Last column: nearest neighbours and their distance in Å.
Space group P1 (No. 1)
Inequivalent atoms, fractional coordinates:
Li: 0.0000 0.0000 0.0000  6 O 2.04-2.13
Li: 0.0004 0.4899 0.5145  5 O 2.06-2.10
Li: 0.2499 0.7475 0.7552  6 O 1.99-2.13
Li: 0.2517 0.2520 0.2564  6 O 1.99-2.20
Li: 0.5003 0.0022 0.0008  6 O 2.07-2.29
Li: 0.5009 0.4975 0.5063  6 O 2.03-2.14
Li: 0.7455 0.2490 0.2572  5 O 1.94-2.16
Li: 0.7513 0.7473 0.7547  6 O 1.97-2.14
Ti: 0.5039 0.5140 0.0129  6 O 1.91-2.05
Ti: 0.9982 0.9812 0.4955  6 O 1.92-2.05
Co: 0.9996 0.4949 0.9996  6 O 1.90-1.96
Co: 0.2265 0.7538 0.2593  6 O 1.94-2.15
Co: 0.2512 0.2472 0.7538  6 O 1.89-1.94
Co: 0.5025 0.9944 0.5095  6 O 1.90-1.95
Co: 0.7502 0.2474 0.7539  6 O 1.89-1.92
Co: 0.7645 0.7497 0.2565  5 O 1.90-2.12
O: 0.0000 0.0218 0.7441  2 Co 1.91, 1 Ti 2.05, 3 Li 2.11-2.12
O: 0.0016 0.4683 0.7659  3 Co 1.89-1.92, 1 Li 2.07
O: 0.2471 0.2645 0.9892  2 Co 1.92-1.93, 1 Ti 2.04, 2 Li 2.06-2.08
O: 0.2473 0.7344 0.9983  1 Ti 1.93, 2 Co 1.95-2.15, 3 Li 2.00-2.09
O: 0.2541 0.7582 0.5129  1 Ti 1.93, 2 Co 1.94-2.09, 3 Li 1.99-2.10
O: 0.2567 0.2285 0.5182  2 Co 1.93-1.94, 1 Ti 2.03, 3 Li 2.07-2.16
O: 0.5001 0.0262 0.7420  3 Co 1.89-1.91
O: 0.5009 0.4739 0.7637  2 Co 1.91, 1 Ti 2.05, 3 Li 2.11-2.12
O: 0.5053 0.4995 0.2452  1 Ti 1.91, 2 Li 1.98-2.01, 1 Co 2.04
O: 0.5096 0.9679 0.2785  3 Co 1.90-2.01, 1 Li 2.10
O: 0.7464 0.2307 0.5199  2 Co 1.92-1.93, 1 Ti 2.02, 2 Li 2.06-2.07
O: 0.7483 0.7546 0.5148  1 Ti 1.92, 2 Co 1.95-2.12, 3 Li 1.97-2.08
O: 0.7537 0.2628 0.9879  2 Co 1.92, 1 Ti 2.02, 2 Li 2.06-2.07
O: 0.7553 0.7375 0.9948  1 Ti 1.91, 1 Co 1.96, 3 Li 1.97-2.09
O: 0.9922 0.5076 0.2307  3 Co 1.90-1.94, 2 Li 2.04-2.09
O: 0.9939 0.0142 0.2598  3 Li 1.94-2.13, 1 Ti 1.95, 2 Co 1.99

Summary:
Relative energy among the computed polymorphs in meV/atom: 0
Uncorrected formation energy in eV per atom: -1.810
Uncorrected energy in eV per atom: -6.897
Crystal system: triclinic
D(E_F) in states/eV/cell: 3.7
Total magnetic moment in μB per formula unit: 2.1


3.
Here is KNa4SnSb3 after structural relaxation from Alexandria via LeMat-Bulk. Energies are from GGA-PBEsol.

Unit cell a=9.1393 b=8.2204 c=17.1931 alpha=90.00 beta=121.74 gamma=90.00
Last column: nearest neighbours and their distance in Å.
Space group P2_1/c (No. 14)
Inequivalent atoms, fractional coordinates:
K: 0.0902 0.0234 0.4130  5 Sb 3.41-3.69, 4 Na 3.62-3.78, 2 Sn 3.73-3.78
Na: 0.1606 0.1627 0.0820  4 Sb 3.15-3.24
Na: 0.1709 0.6281 0.7412  4 Sb 3.10-3.21
Na: 0.2274 0.5489 0.4062  3 Sb 3.23-3.33, 1 Na 3.48
Na: 0.4287 0.5052 0.2573  4 Sb 3.18-3.48, 1 Na 3.53
Sn: 0.4778 0.1524 0.4098  4 Sb 2.81-2.93
Sb: 0.1629 0.2402 0.7600  1 Sn 2.81
Sb: 0.2334 0.7120 0.5851  1 Sn 2.82, 2 Na 3.10-3.15
Sb: 0.4842 0.2016 0.5773  2 Sn 2.88-2.93, 2 Na 3.11-3.20

Summary:
Uncorrected formation energy in eV per atom: -0.376
Uncorrected energy in eV per atom: -3.117
Crystal system: monoclinic
Total magnetic moment in μB per formula unit: 0.0


4.
Here is CoAs after structural relaxation from Alexandria via LeMat-Bulk. Energies are from GGA-PBEsol.

Unit cell a=5.2433 b=3.4271 c=5.7259 alpha=90.00 beta=90.00 gamma=90.00
Last column: nearest neighbours and their distance in Å.
Space group Pnma (No. 62)
Inequivalent atoms, fractional coordinates:
Co: 0.0019 0.2500 0.1957  6 As 2.28-2.48
As: 0.1982 0.2500 0.5890  6 Co 2.28-2.48

Summary:
Uncorrected energy in eV per atom: -6.795
Crystal system: orthorhombic
Formation energy in meV per atom: -372.9
D(E_F) in states/eV/cell: 5.3
Total magnetic moment in μB per formula unit: 0.0


Look up the total magnetic moment of the first one.
0.0 μB per formula unit


Among the records above, which one has the lowest uncorrected energy?
PPt2W